(1)
The following is a PBE-GGA calculation of a geometry-optimized SiNiPd structure, from the Alexandria database.

uncorrected formation energy	0.14	eV per atom
crystal system	tetragonal

```
data_SiNiPd
_cell_length_a 2.644
_cell_length_b 2.644
_cell_length_c 12.824
_cell_angle_alpha 90.00
_cell_angle_beta 90.00
_cell_angle_gamma 90.00
_space_group_name_H-M_alt 'I 4 m m'
_space_group_IT_number 107
_space_group_name_Hall 'I 4 -2'
loop_
_atom_site_label
_atom_site_type_symbol
_atom_site_fract_x
_atom_site_fract_y
_atom_site_fract_z
_atom_site_occupancy
Si1 Si 0.000 0.000 0.000 1
Ni1 Ni 0.000 0.000 0.831 1
Pd1 Pd 0.000 0.000 0.181 1
```

=====

(2)
The following is a PBE-GGA calculation of a geometry-optimized LaCe3Nd2Sb6 structure, from the Alexandria database.

uncorrected formation energy	-1.13	eV per atom
crystal system	monoclinic

```
data_LaCe3Nd2Sb6
_cell_length_a 7.846
_cell_length_b 13.588
_cell_length_c 7.851
_cell_angle_alpha 90.00
_cell_angle_beta 109.46
_cell_angle_gamma 90.00
_space_group_name_H-M_alt 'C 1 2/m 1'
_space_group_IT_number 12
_space_group_name_Hall '-C 2y'
loop_
_atom_site_label
_atom_site_type_symbol
_atom_site_fract_x
_atom_site_fract_y
_atom_site_fract_z
_atom_site_occupancy
La1 La 0.000 0.000 0.000 1
Ce1 Ce 0.000 0.166 0.500 1
Ce2 Ce 0.000 0.500 0.500 1
Nd1 Nd 0.000 0.333 0.000 1
Sb1 Sb 0.247 0.332 0.745 1
Sb2 Sb 0.249 0.500 0.254 1
```

=====

(3)
The following is a PBE-GGA calculation of a geometry-optimized HfPbO3 structure, from the Alexandria database.

uncorrected formation energy	-2.49	eV per atom
crystal system	orthorhombic

```
data_HfPbO3
_cell_length_a 5.429
_cell_length_b 5.569
_cell_length_c 4.992
_cell_angle_alpha 90.00
_cell_angle_beta 90.00
_cell_angle_gamma 90.00
_space_group_name_H-M_alt 'P m m a'
_space_group_IT_number 51
_space_group_name_Hall '-P 2a 2a'
loop_
_atom_site_label
_atom_site_type_symbol
_atom_site_fract_x
_atom_site_fract_y
_atom_site_fract_z
_atom_site_occupancy
Hf1 Hf 0.250 0.000 0.201 1
Pb1 Pb 0.250 0.500 0.737 1
O1 O 0.000 0.000 0.500 1
O2 O 0.000 0.244 0.000 1
```

=====

(4)
The following is a PBE-GGA calculation of a geometry-optimized Ac8Sn3Au structure, from the Alexandria database.

DFT formation energy	-0.3807	eV/atom
crystal system	tetragonal

```
data_Ac8Sn3Au
_cell_length_a 7.859
_cell_length_b 7.859
_cell_length_c 15.858
_cell_angle_alpha 90.00
_cell_angle_beta 90.00
_cell_angle_gamma 90.00
_space_group_name_H-M_alt 'I 4/m m m'
_space_group_IT_number 139
_space_group_name_Hall '-I 4 2'
loop_
_atom_site_label
_atom_site_type_symbol
_atom_site_fract_x
_atom_site_fract_y
_atom_site_fract_z
_atom_site_occupancy
Ac1 Ac 0.243 0.243 0.120 1
Sn1 Sn 0.000 0.000 0.500 1
Sn2 Sn 0.000 0.500 0.250 1
Au1 Au 0.000 0.000 0.000 1
```

=====

(5)
The following is a PBE-GGA calculation of a geometry-optimized CrBi2Au2 structure, from the Alexandria database.

DFT formation energy	0.3040	eV/atom
crystal system	tetragonal
E above lowest polymorph	123	meV per atom

```
data_CrBi2Au2
_cell_length_a 3.803
_cell_length_b 3.803
_cell_length_c 16.945
_cell_angle_alpha 90.00
_cell_angle_beta 90.00
_cell_angle_gamma 90.00
_space_group_name_H-M_alt 'I 4/m m m'
_space_group_IT_number 139
_space_group_name_Hall '-I 4 2'
loop_
_atom_site_label
_atom_site_type_symbol
_atom_site_fract_x
_atom_site_fract_y
_atom_site_fract_z
_atom_site_occupancy
Cr1 Cr 0.000 0.000 0.000 1
Bi1 Bi 0.000 0.000 0.403 1
Au1 Au 0.000 0.500 0.250 1
```

=====

(6)
The following is a PBE-GGA calculation of a geometry-optimized Tl2InRe structure, from the Alexandria database.

DFT formation energy	0.9223	eV/atom
crystal system	tetragonal
E above lowest polymorph	363	meV per atom

```
data_Tl2InRe
_cell_length_a 4.387
_cell_length_b 4.387
_cell_length_c 9.065
_cell_angle_alpha 90.00
_cell_angle_beta 90.00
_cell_angle_gamma 90.00
_space_group_name_H-M_alt 'I -4 m 2'
_space_group_IT_number 119
_space_group_name_Hall 'I -4 -2'
loop_
_atom_site_label
_atom_site_type_symbol
_atom_site_fract_x
_atom_site_fract_y
_atom_site_fract_z
_atom_site_occupancy
Tl1 Tl 0.000 0.000 0.000 1
Tl2 Tl 0.000 0.500 0.250 1
In1 In 0.000 0.500 0.750 1
Re1 Re 0.000 0.000 0.500 1
```